CePm8Ho2 | PBE | optimized geometry

Output
formation enthalpy at 0 K	0.119	eV/atom
volume	33.77	Å³/atom
symmetry	Immm (71)

a b c (Å): 5.6749 8.1942 9.4162
angles (deg): 115.79 107.54 90.00
With the nearest neighbours (Å) after each atom.
Sites, in units of the cell vectors:
Pm: 0.1637 0.1637 0.3274  8 Pm 3.53-3.74, 2 Ho 3.58, 2 Ce 3.86
Pm: 0.6354 0.8433 0.2709  1 Ce 3.23, 3 Pm 3.41-3.57, 3 Ho 3.46-3.56
Pm: 0.0000 0.2891 0.0000  7 Pm 3.46-3.57, 2 Ho 3.63, 2 Ce 3.70
Pm: 0.8363 0.8363 0.6726  8 Pm 3.53-3.74, 2 Ho 3.58, 2 Ce 3.86
Pm: 0.3646 0.1567 0.7291  1 Ce 3.23, 3 Pm 3.41-3.57, 3 Ho 3.46-3.56
Ho: 0.1995 0.6995 0.3990  10 Pm 3.46-3.63
Pm: 0.6354 0.4275 0.2708  1 Ce 3.23, 3 Pm 3.41-3.57, 3 Ho 3.46-3.56
Pm: 0.0000 0.7109 0.0000  7 Pm 3.46-3.57, 2 Ho 3.63, 2 Ce 3.70
Pm: 0.3646 0.5725 0.7292  1 Ce 3.23, 3 Pm 3.41-3.57, 3 Ho 3.46-3.56
Ce: 0.5000 0.0000 0.0000  4 Pm 3.23
Ho: 0.8005 0.3005 0.6010  10 Pm 3.46-3.63